# GGA+U Cr2SbPbO8, optimized geometry
data_Cr2SbPbO8
_cell_length_a 6.640
_cell_length_b 6.693
_cell_length_c 6.376
_cell_angle_alpha 90.00
_cell_angle_beta 90.00
_cell_angle_gamma 90.00
_space_group_name_H-M_alt 'C m m m'
_space_group_IT_number 65
_space_group_name_Hall '-C 2 2'
loop_
_atom_site_label
_atom_site_fract_x
_atom_site_fract_y
_atom_site_fract_z
Cr1 0.000 0.000 0.246
Sb1 0.000 0.500 0.000
Pb1 0.000 0.500 0.500
O1 0.000 0.299 0.232
O2 0.176 0.000 0.500
O3 0.192 0.000 0.000
# - VASP energy: -6.60 eV per atom